Record 1
{
  "formula": "TmSe2",
  "functional": "GGA-PBEsol",
  "state": "relaxed",
  "cell": [[-3.049, -2.224, 1.262], [-0.333, -1.603, -3.627], [5.161, -5.871, 2.121]],
  "species": ["Se", "Se", "Se", "Se", "Tm", "Tm"],
  "fractional_positions": [[0.000, 0.000, 0.000], [0.500, 0.000, 0.370], [0.000, 0.500, 0.630], [0.500, 0.500, 0.000], [0.000, 0.500, 0.272], [0.500, 0.000, 0.728]],
  "e_form_raw_ev_per_atom": -1.5825,
  "magnetic_moment_mub_per_fu": 0.000,
  "final_energy_ev_per_cell": -34.69
}



Record 2
{
  "formula": "USe2",
  "functional": "GGA-PBEsol",
  "state": "relaxed",
  "cell": [[-2.893, -3.598, 4.373], [-5.687, -4.557, -7.512], [7.385, -7.329, -1.145]],
  "species": ["Se", "Se", "Se", "Se", "Se", "Se", "Se", "Se", "Se", "Se", "Se", "Se", "Se", "Se", "Se", "Se", "Se", "Se", "Se", "Se", "U", "U", "U", "U", "U", "U", "U", "U", "U", "U"],
  "fractional_positions": [[0.623, 0.415, 0.208], [0.623, 0.292, 0.915], [0.623, 0.585, 0.792], [0.126, 0.289, 0.086], [0.000, 0.500, 0.500], [0.874, 0.211, 0.414], [0.874, 0.914, 0.289], [0.623, 0.708, 0.085], [0.126, 0.586, 0.211], [0.126, 0.414, 0.789], [0.874, 0.789, 0.586], [0.500, 0.500, 0.500], [0.377, 0.085, 0.292], [0.377, 0.208, 0.585], [0.874, 0.086, 0.711], [0.500, 0.000, 0.000], [0.000, 0.000, 0.000], [0.377, 0.915, 0.708], [0.126, 0.711, 0.914], [0.377, 0.792, 0.415], [0.871, 0.500, 0.000], [0.751, 0.341, 0.656], [0.249, 0.344, 0.341], [0.249, 0.656, 0.659], [0.129, 0.000, 0.500], [0.249, 0.159, 0.844], [0.751, 0.844, 0.841], [0.751, 0.156, 0.159], [0.249, 0.841, 0.156], [0.751, 0.659, 0.344]],
  "e_form_raw_ev_per_atom": -1.0426,
  "magnetic_moment_mub_per_fu": 2.000,
  "final_energy_ev_per_cell": -229.87
}



Record 3
{
  "formula": "V5Se8",
  "functional": "GGA-PBEsol",
  "state": "relaxed",
  "cell": [[6.774, -0.089, -0.023], [-3.218, 5.962, 0.023], [-1.888, -2.870, 5.837]],
  "species": ["V", "V", "V", "V", "V", "Se", "Se", "Se", "Se", "Se", "Se", "Se", "Se"],
  "fractional_positions": [[0.802, 0.302, 0.500], [0.198, 0.698, 0.500], [0.774, 0.280, 0.054], [0.000, 0.000, 0.000], [0.226, 0.720, 0.946], [0.768, 0.567, 0.335], [0.711, 0.953, 0.175], [0.778, 0.536, 0.825], [0.222, 0.464, 0.175], [0.308, 0.015, 0.323], [0.692, 0.985, 0.677], [0.232, 0.433, 0.665], [0.289, 0.047, 0.825]],
  "e_form_raw_ev_per_atom": -0.7667,
  "magnetic_moment_mub_per_fu": 1.611,
  "final_energy_ev_per_cell": -88.94
}



Record 4
{
  "formula": "W3Se",
  "functional": "GGA-PBEsol",
  "state": "relaxed",
  "cell": [[-0.471, 1.938, -2.066], [-4.121, -3.017, -0.559], [0.089, 3.028, 4.149]],
  "species": ["W", "W", "W", "Se"],
  "fractional_positions": [[0.000, 0.500, 0.500], [0.500, 0.000, 0.500], [0.500, 0.500, 0.000], [0.000, 0.000, 0.000]],
  "e_form_raw_ev_per_atom": 0.6309,
  "magnetic_moment_mub_per_fu": 0.000,
  "relative_energy_mev_per_atom": 253.8,
  "final_energy_ev_per_cell": -42.75
}



Record 5
{
  "formula": "WSe4",
  "functional": "GGA-PBEsol",
  "state": "relaxed",
  "cell": [[5.227, 0.000, 0.000], [-1.742, 4.928, 0.000], [-1.742, -2.464, 4.268]],
  "species": ["Se", "Se", "Se", "Se", "W"],
  "fractional_positions": [[0.500, 0.500, 0.500], [0.500, 0.000, 0.000], [0.000, 0.000, 0.500], [0.000, 0.500, 0.000], [0.000, 0.000, 0.000]],
  "e_form_raw_ev_per_atom": 0.5543,
  "magnetic_moment_mub_per_fu": 0.417,
  "final_energy_ev_per_cell": -26.44
}



Record 6
{
  "formula": "WSe3",
  "functional": "GGA-PBEsol",
  "state": "relaxed",
  "cell": [[-1.041, -2.586, -1.908], [3.183, -3.005, 2.337], [-4.598, 0.530, 1.790]],
  "species": ["Se", "Se", "Se", "W"],
  "fractional_positions": [[0.000, 0.500, 0.500], [0.500, 0.500, 0.000], [0.500, 0.000, 0.500], [0.000, 0.000, 0.000]],
  "e_form_raw_ev_per_atom": 0.7218,
  "magnetic_moment_mub_per_fu": 0.000,
  "relative_energy_mev_per_atom": 730.6,
  "final_energy_ev_per_cell": -22.47
}



Record 7
{
  "formula": "WSe",
  "functional": "GGA-PBEsol",
  "state": "relaxed",
  "cell": [[-0.149, -2.371, 1.866], [2.505, -1.545, 0.682], [1.423, 1.102, 3.959]],
  "species": ["W", "Se"],
  "fractional_positions": [[0.500, 0.500, 0.500], [0.000, 0.000, 0.000]],
  "e_form_raw_ev_per_atom": 0.3521,
  "magnetic_moment_mub_per_fu": 0.000,
  "relative_energy_mev_per_atom": 313.5,
  "final_energy_ev_per_cell": -16.95
}



Record 8
{
  "formula": "W3Se4",
  "functional": "GGA-PBEsol",
  "state": "relaxed",
  "cell": [[-2.353, -4.209, -0.087], [0.691, -0.275, -5.412], [3.740, -2.160, 3.344]],
  "species": ["W", "W", "W", "Se", "Se", "Se", "Se"],
  "fractional_positions": [[0.000, 0.500, 0.000], [0.000, 0.000, 0.500], [0.000, 0.500, 0.500], [0.500, 0.667, 0.333], [0.755, 0.000, 0.000], [0.500, 0.333, 0.667], [0.245, 0.000, 0.000]],
  "e_form_raw_ev_per_atom": 0.8233,
  "magnetic_moment_mub_per_fu": 0.000,
  "final_energy_ev_per_cell": -51.06
}



Record 9
{
  "formula": "WSe",
  "functional": "GGA-PBEsol",
  "state": "relaxed",
  "cell": [[3.080, 0.000, 0.000], [-1.540, 2.668, 0.000], [0.000, 0.000, 3.873]],
  "species": ["Se", "W"],
  "fractional_positions": [[0.000, 0.000, 0.000], [0.667, 0.333, 0.500]],
  "e_form_raw_ev_per_atom": 0.4422,
  "magnetic_moment_mub_per_fu": 0.000,
  "relative_energy_mev_per_atom": 403.6,
  "final_energy_ev_per_cell": -16.77
}



Record 10
{
  "formula": "WSe",
  "functional": "GGA-PBEsol",
  "state": "relaxed",
  "cell": [[3.112, 0.000, 0.000], [-1.556, 5.544, -0.011], [0.000, -2.547, 6.169]],
  "species": ["W", "W", "W", "Se", "Se", "Se"],
  "fractional_positions": [[0.652, 0.303, 0.351], [0.238, 0.475, 0.081], [0.925, 0.850, 0.350], [0.357, 0.713, 0.584], [0.660, 0.319, 0.753], [0.003, 0.006, 0.048]],
  "e_form_raw_ev_per_atom": 0.0386,
  "magnetic_moment_mub_per_fu": 0.000,
  "relative_energy_mev_per_atom": 0.0,
  "final_energy_ev_per_cell": -52.74
}



Record 11
{
  "formula": "W3Se2",
  "functional": "GGA-PBEsol",
  "state": "relaxed",
  "cell": [[3.128, 0.000, 0.000], [1.564, 2.709, 0.000], [1.564, 0.903, 10.129]],
  "species": ["W", "W", "W", "Se", "Se"],
  "fractional_positions": [[0.195, 0.195, 0.416], [0.805, 0.805, 0.584], [0.000, 0.000, 0.000], [0.606, 0.606, 0.182], [0.394, 0.394, 0.818]],
  "e_form_raw_ev_per_atom": 0.3524,
  "magnetic_moment_mub_per_fu": 0.000,
  "final_energy_ev_per_cell": -47.36
}



Record 12
{
  "formula": "WSe3",
  "functional": "GGA-PBEsol",
  "state": "relaxed",
  "cell": [[-1.449, 0.864, -2.454], [1.063, -2.367, -1.461], [-7.344, -4.908, 2.607]],
  "species": ["W", "Se", "Se", "Se"],
  "fractional_positions": [[0.500, 0.500, 0.500], [0.500, 0.500, 0.000], [0.000, 0.000, 0.672], [0.000, 0.000, 0.328]],
  "e_form_raw_ev_per_atom": -0.0088,
  "magnetic_moment_mub_per_fu": 0.000,
  "relative_energy_mev_per_atom": 0.0,
  "final_energy_ev_per_cell": -25.39
}



Record 13
{
  "formula": "WSe3",
  "functional": "GGA-PBEsol",
  "state": "relaxed",
  "cell": [[2.627, 0.000, 0.027], [0.000, 3.202, 0.000], [-0.128, 0.000, 9.830]],
  "species": ["Se", "Se", "Se", "W"],
  "fractional_positions": [[0.998, 0.000, 0.298], [0.002, 0.000, 0.702], [0.000, 0.500, 0.000], [0.000, 0.500, 0.500]],
  "e_form_raw_ev_per_atom": 0.2029,
  "magnetic_moment_mub_per_fu": 0.000,
  "relative_energy_mev_per_atom": 211.7,
  "final_energy_ev_per_cell": -24.55
}



Record 14
{
  "formula": "W3Se",
  "functional": "GGA-PBEsol",
  "state": "relaxed",
  "cell": [[-1.576, 2.577, 0.362], [0.366, -1.182, -2.780], [-6.673, -4.210, 0.913]],
  "species": ["Se", "W", "W", "W"],
  "fractional_positions": [[0.000, 0.000, 0.000], [0.000, 0.000, 0.500], [0.333, 0.667, 0.766], [0.333, 0.667, 0.234]],
  "e_form_raw_ev_per_atom": 0.3771,
  "magnetic_moment_mub_per_fu": 0.000,
  "relative_energy_mev_per_atom": 0.0,
  "final_energy_ev_per_cell": -43.76
}



Record 15
{
  "formula": "WSe3",
  "functional": "GGA-PBEsol",
  "state": "relaxed",
  "cell": [[-0.928, -3.478, 1.301], [2.717, -1.551, -2.206], [6.731, 3.685, 9.021]],
  "species": ["Se", "Se", "Se", "Se", "Se", "Se", "W", "W"],
  "fractional_positions": [[0.132, 0.132, 0.264], [0.868, 0.868, 0.736], [0.750, 0.250, 0.500], [0.250, 0.750, 0.500], [0.000, 0.500, 0.000], [0.500, 0.000, 0.000], [0.681, 0.681, 0.361], [0.319, 0.319, 0.639]],
  "e_form_raw_ev_per_atom": 0.5343,
  "magnetic_moment_mub_per_fu": 0.451,
  "relative_energy_mev_per_atom": 543.1,
  "final_energy_ev_per_cell": -46.44
}



Record 16
{
  "formula": "YWSe4",
  "functional": "GGA-PBEsol",
  "state": "relaxed",
  "cell": [[-0.877, 2.226, -4.979], [1.536, -2.725, -4.553], [-3.826, -2.153, -3.353]],
  "species": ["Se", "Se", "Se", "Se", "W", "Y"],
  "fractional_positions": [[0.873, 0.376, 0.376], [0.376, 0.873, 0.376], [0.376, 0.376, 0.376], [0.376, 0.376, 0.873], [0.750, 0.750, 0.750], [0.000, 0.000, 0.000]],
  "e_form_raw_ev_per_atom": 0.7104,
  "magnetic_moment_mub_per_fu": 1.488,
  "final_energy_ev_per_cell": -31.77
}



Record 17
{
  "formula": "ZnWSe3",
  "functional": "GGA-PBEsol",
  "state": "relaxed",
  "cell": [[-0.645, 4.388, -2.052], [1.823, -1.698, -4.204], [-4.488, -1.321, -1.413]],
  "species": ["W", "Se", "Se", "Se", "Zn"],
  "fractional_positions": [[0.000, 0.000, 0.000], [0.500, 0.000, 0.000], [0.000, 0.000, 0.500], [0.000, 0.500, 0.000], [0.500, 0.500, 0.500]],
  "e_form_raw_ev_per_atom": 0.3334,
  "magnetic_moment_mub_per_fu": 0.000,
  "final_energy_ev_per_cell": -25.27
}



Record 18
{
  "formula": "ZnWSe",
  "functional": "GGA-PBEsol",
  "state": "relaxed",
  "cell": [[-2.569, -1.491, 0.656], [0.709, -2.125, -2.057], [3.556, -1.028, 4.536]],
  "species": ["Se", "W", "Zn"],
  "fractional_positions": [[0.029, 0.029, 0.057], [0.657, 0.657, 0.315], [0.314, 0.314, 0.628]],
  "e_form_raw_ev_per_atom": 0.1903,
  "magnetic_moment_mub_per_fu": 0.000,
  "final_energy_ev_per_cell": -18.67
}



Record 19
{
  "formula": "ZnW3Se",
  "functional": "GGA-PBEsol",
  "state": "relaxed",
  "cell": [[4.545, 0.000, 0.000], [0.000, 4.545, 0.000], [0.000, 0.000, 4.545]],
  "species": ["Se", "W", "W", "W", "Zn"],
  "fractional_positions": [[0.000, 0.000, 0.000], [0.000, 0.500, 0.000], [0.000, 0.000, 0.500], [0.500, 0.000, 0.000], [0.500, 0.500, 0.500]],
  "e_form_raw_ev_per_atom": 1.6972,
  "magnetic_moment_mub_per_fu": 0.000,
  "final_energy_ev_per_cell": -38.37
}



Record 20
{
  "formula": "ZnWSe2",
  "functional": "GGA-PBEsol",
  "state": "relaxed",
  "cell": [[-1.570, -2.464, 1.133], [3.848, 1.013, 3.203], [-5.203, 3.729, 0.898]],
  "species": ["Se", "Se", "Zn", "W"],
  "fractional_positions": [[0.026, 0.053, 0.093], [0.185, 0.371, 0.655], [0.783, 0.567, 0.379], [0.505, 0.010, 0.374]],
  "e_form_raw_ev_per_atom": 0.0311,
  "magnetic_moment_mub_per_fu": 0.000,
  "final_energy_ev_per_cell": -22.97
}



Record 21
{
  "formula": "ZrWSe2",
  "functional": "GGA-PBEsol",
  "state": "relaxed",
  "cell": [[-2.877, -1.663, 1.030], [2.163, -1.642, 3.387], [-1.216, 6.429, 1.111]],
  "species": ["Se", "Se", "W", "Zr"],
  "fractional_positions": [[0.155, 0.155, 0.309], [0.845, 0.845, 0.691], [0.500, 0.000, 0.000], [0.000, 0.500, 0.000]],
  "e_form_raw_ev_per_atom": -0.3720,
  "magnetic_moment_mub_per_fu": 0.000,
  "final_energy_ev_per_cell": -32.09
}



Record 22
{
  "formula": "ZrWSe4",
  "functional": "GGA-PBEsol",
  "state": "relaxed",
  "cell": [[5.404, 0.000, 0.000], [2.702, 4.680, 0.000], [2.702, 1.560, 4.413]],
  "species": ["Se", "Se", "Se", "Se", "W", "Zr"],
  "fractional_positions": [[0.375, 0.874, 0.375], [0.375, 0.375, 0.375], [0.375, 0.375, 0.874], [0.874, 0.375, 0.375], [0.750, 0.750, 0.750], [0.000, 0.000, 0.000]],
  "e_form_raw_ev_per_atom": 0.9067,
  "magnetic_moment_mub_per_fu": 0.001,
  "final_energy_ev_per_cell": -32.86
}



Record 23
{
  "formula": "ZrW2Se",
  "functional": "GGA-PBEsol",
  "state": "relaxed",
  "cell": [[-1.590, 2.295, -0.998], [0.203, -2.173, -2.007], [-7.073, -3.544, 3.122]],
  "species": ["W", "W", "Se", "Zr"],
  "fractional_positions": [[0.000, 0.000, 0.997], [0.500, 0.500, 0.763], [0.500, 0.500, 0.245], [0.000, 0.000, 0.495]],
  "e_form_raw_ev_per_atom": 0.1234,
  "magnetic_moment_mub_per_fu": 0.001,
  "final_energy_ev_per_cell": -40.06
}



Record 24
{
  "formula": "ZrW2Se",
  "functional": "GGA-PBEsol",
  "state": "relaxed",
  "cell": [[3.221, 0.000, 0.000], [0.000, 3.221, 0.000], [0.000, 0.000, 6.683]],
  "species": ["Zr", "W", "W", "Se"],
  "fractional_positions": [[0.000, 0.000, 0.500], [0.500, 0.500, 0.221], [0.000, 0.000, 0.018], [0.500, 0.500, 0.761]],
  "e_form_raw_ev_per_atom": 0.0067,
  "magnetic_moment_mub_per_fu": 0.000,
  "final_energy_ev_per_cell": -40.53
}



Record 25
{
  "formula": "ZrW2Se",
  "functional": "GGA-PBEsol",
  "state": "relaxed",
  "cell": [[2.951, 0.016, 0.000], [-1.033, 2.764, 0.000], [0.000, 0.000, 8.426]],
  "species": ["Zr", "W", "W", "Se"],
  "fractional_positions": [[0.500, 0.500, 0.500], [0.000, 0.000, 0.768], [0.000, 0.000, 0.232], [0.500, 0.500, 0.000]],
  "e_form_raw_ev_per_atom": 0.4375,
  "magnetic_moment_mub_per_fu": 0.000,
  "final_energy_ev_per_cell": -38.80
}



Record 26
{
  "formula": "ZrW2Se",
  "functional": "GGA-PBEsol",
  "state": "relaxed",
  "cell": [[-1.555, 0.613, -2.433], [1.146, -0.556, -2.662], [-3.734, -8.337, -1.503]],
  "species": ["Zr", "W", "W", "Se"],
  "fractional_positions": [[0.500, 0.500, 0.500], [0.740, 0.740, 0.781], [0.260, 0.260, 0.219], [0.000, 0.000, 0.000]],
  "e_form_raw_ev_per_atom": 0.4277,
  "magnetic_moment_mub_per_fu": 0.000,
  "final_energy_ev_per_cell": -38.84
}



Record 27
{
  "formula": "Y2Se3",
  "functional": "GGA-PBEsol",
  "state": "relaxed",
  "cell": [[-4.082, 5.532, -1.200], [0.470, -3.782, -5.847], [-7.869, -7.283, 6.891]],
  "species": ["Se", "Se", "Se", "Se", "Se", "Se", "Se", "Se", "Se", "Se", "Se", "Se", "Y", "Y", "Y", "Y", "Y", "Y", "Y", "Y"],
  "fractional_positions": [[0.173, 0.676, 0.837], [0.926, 0.923, 0.337], [0.839, 0.337, 0.163], [0.587, 0.589, 0.663], [0.245, 0.245, 0.000], [0.663, 0.161, 0.837], [0.755, 0.755, 0.000], [0.495, 0.995, 0.500], [0.005, 0.505, 0.500], [0.411, 0.413, 0.337], [0.077, 0.074, 0.663], [0.324, 0.827, 0.163], [0.166, 0.666, 0.332], [0.747, 0.747, 0.495], [0.916, 0.916, 0.832], [0.503, 0.003, 0.005], [0.997, 0.497, 0.995], [0.084, 0.084, 0.168], [0.253, 0.253, 0.505], [0.334, 0.834, 0.668]],
  "e_form_raw_ev_per_atom": -1.9030,
  "magnetic_moment_mub_per_fu": 0.000,
  "final_energy_ev_per_cell": -138.84
}